This record from Alexandria describes Sr2YCd after structural relaxation. The functional is PBE.

Its density is 4.1 g/cm3. Its formation energy is -0.035 eV per atom. The value obtained for the density of states at the Fermi level is 5.93 states/eV/f.u.

Geometry as CIF:
```
data_Sr2YCd
_chemical_formula_sum 'Sr4 Y2 Cd2'
_cell_length_a 3.996
_cell_length_b 6.057
_cell_length_c 12.605
_cell_angle_alpha 90.00
_cell_angle_beta 90.00
_cell_angle_gamma 90.00
_symmetry_space_group_name_H-M 'I m m 2'
_symmetry_Int_Tables_number 44
loop_
_symmetry_equiv_pos_as_xyz
'x,y,z'
'-x,-y,z'
'-x,y,z'
'x,-y,z'
'x+1/2,y+1/2,z+1/2'
'-x+1/2,-y+1/2,z+1/2'
'-x+1/2,y+1/2,z+1/2'
'x+1/2,-y+1/2,z+1/2'
loop_
_atom_site_label
_atom_site_type_symbol
_atom_site_fract_x
_atom_site_fract_y
_atom_site_fract_z
Sr1 Sr 0.000 0.000 0.000
Sr2 Sr 0.000 0.500 0.209
Y1 Y 0.000 0.500 0.793
Cd1 Cd 0.000 0.000 0.484
```